Here is crystalline MgRh at its relaxed geometry from Alexandria via LeMat-Bulk. Energies are from PBE-GGA.

The structure belongs to space group F-43m (No. 216); the cell edges are 5.730, 5.730 and 5.730 Å and the angles 90.00°, 90.00° and 90.00°. Symmetry generates all atoms from Mg at (0.000, 0.000, 0.000) and Rh at (0.250, 0.250, 0.750).

The calculation puts the formation energy at 918.2 meV/atom. For the volume, the calculation gives 23.5 Å³/atom. Its raw total energy is -3.555 eV/atom.